Here is crystalline NbAlMoOs at its relaxed geometry from the Alexandria database. Energies are from GGA-PBE.

Output
**E_form**: -217 meV/atom
**Space-group type**: No. 216
**Magnetization**: 0.00 μB/f.u.
**Final energy**: -9.186 eV/atom

abc: 4.4523 4.4523 4.4523
angles: 60.00 60.00 60.00
Atoms (fractional coordinates):
Mo  0.7500  0.7500  0.7500
Os  0.2500  0.2500  0.2500
Nb  0.5000  0.5000  0.5000
Al  0.0000  0.0000  0.0000